No. 1
Entry from Alexandria: a relaxed Pm2SnF crystal (PBE).

Relative energy among the computed polymorphs ... 0.0 meV per atom
Space group ... R-3m
ΔE_f (raw) ... -1.41 eV per atom

Lattice parameters (Å, degrees): 6.6890 6.6890 6.6890 37.85 37.85 37.85
Closest atoms and distances in Å follow each position.
Atoms (fractional coordinates):
Pm (0.2391, 0.2391, 0.2391)  3 F 2.84, 3 Sn 3.06
Pm (0.7609, 0.7609, 0.7609)  3 F 2.84, 3 Sn 3.06
Sn (0.0000, 0.0000, 0.0000)  6 Pm 3.06
F (0.5000, 0.5000, 0.5000)  6 Pm 2.84

***

No. 2
Entry from Alexandria: a relaxed ScTc2P2 crystal (PBE).

Relative energy among the computed polymorphs ... 73.1 meV per atom
Space group ... I4/mmm

Lattice parameters (Å, degrees): 5.3869 5.3869 5.3869 133.00 133.00 68.66
Closest atoms and distances in Å follow each position.
Atoms (fractional coordinates):
Sc (0.0000, 0.0000, 0.0000)  8 P 3.09, 10 Tc 3.25-3.29
Tc (0.3694, 0.3694, 0.0000)  1 Tc 2.32, 4 P 2.40
Tc (0.6306, 0.6306, 0.0000)  1 Tc 2.32, 4 P 2.40
P (0.2500, 0.7500, 0.5000)  4 Tc 2.40
P (0.7500, 0.2500, 0.5000)  4 Tc 2.40

***

No. 3
Entry from Alexandria: a relaxed SmPa2S6 crystal (PBE).

Relative energy among the computed polymorphs ... 0.0 meV per atom
Space group ... C2/c
ΔE_f (raw) ... -1.64 eV per atom

Lattice parameters (Å, degrees): 8.5585 8.5585 7.1484 109.77 109.77 77.38
Closest atoms and distances in Å follow each position.
Atoms (fractional coordinates):
Sm (0.1710, 0.8290, 0.7500)  8 S 2.88-3.11
Sm (0.8290, 0.1710, 0.2500)  8 S 2.88-3.11
Pa (0.1923, 0.3442, 0.0928)  6 S 2.63-2.75
Pa (0.3442, 0.1923, 0.5928)  6 S 2.63-2.75
Pa (0.6558, 0.8077, 0.4072)  6 S 2.63-2.75
Pa (0.8077, 0.6558, 0.9072)  6 S 2.63-2.75
S (0.0753, 0.1655, 0.6828)  2 Pa 2.66-2.75, 1 Sm 2.97
S (0.1372, 0.6053, 0.9549)  2 Pa 2.63-2.68, 1 Sm 2.88
S (0.1655, 0.0753, 0.1828)  2 Pa 2.66-2.75, 1 Sm 2.97
S (0.2503, 0.4856, 0.4991)  2 Pa 2.66-2.70, 1 Sm 2.95
S (0.3947, 0.8628, 0.5451)  2 Pa 2.63-2.68, 1 Sm 2.88
S (0.4856, 0.2503, 0.9991)  2 Pa 2.66-2.70, 1 Sm 2.95
S (0.5144, 0.7497, 0.0009)  2 Pa 2.66-2.70, 1 Sm 2.95
S (0.6053, 0.1372, 0.4549)  2 Pa 2.63-2.68, 1 Sm 2.88
S (0.7497, 0.5144, 0.5009)  2 Pa 2.66-2.70, 1 Sm 2.95
S (0.8345, 0.9247, 0.8172)  2 Pa 2.66-2.75, 1 Sm 2.97
S (0.8628, 0.3947, 0.0451)  2 Pa 2.63-2.68, 1 Sm 2.88
S (0.9247, 0.8345, 0.3172)  2 Pa 2.66-2.75, 1 Sm 2.97

***

No. 4
Entry from Alexandria: a relaxed TbPm4Sc2 crystal (PBE).

Relative energy among the computed polymorphs ... 0.0 meV per atom
Space group ... P2_1/m

Lattice parameters (Å, degrees): 5.5372 6.8625 11.8723 90.00 103.51 90.00
Closest atoms and distances in Å follow each position.
Atoms (fractional coordinates):
Tb (0.0768, 0.2500, 0.1493)  2 Sc 3.26, 6 Pm 3.29-3.63
Tb (0.9232, 0.7500, 0.8507)  2 Sc 3.26, 6 Pm 3.29-3.63
Pm (0.0694, 0.7500, 0.1420)  3 Sc 3.22, 3 Tb 3.36-3.43
Pm (0.2166, 0.2500, 0.4340)  4 Sc 3.23-3.43, 1 Tb 3.29
Pm (0.3556, 0.0019, 0.7112)  7 Pm 3.41-3.67, 5 Sc 3.59-3.77, 2 Tb 3.63-3.65
Pm (0.3556, 0.4981, 0.7112)  7 Pm 3.41-3.67, 5 Sc 3.59-3.77, 2 Tb 3.63-3.65
Pm (0.6444, 0.5019, 0.2888)  7 Pm 3.41-3.67, 5 Sc 3.59-3.77, 2 Tb 3.63-3.65
Pm (0.6444, 0.9981, 0.2888)  7 Pm 3.41-3.67, 5 Sc 3.59-3.77, 2 Tb 3.63-3.65
Pm (0.7834, 0.7500, 0.5660)  4 Sc 3.23-3.43, 1 Tb 3.29
Pm (0.9306, 0.2500, 0.8580)  3 Sc 3.22, 3 Tb 3.36-3.43
Sc (0.2109, 0.7500, 0.4212)  9 Pm 3.22-3.59
Sc (0.4975, 0.7500, 0.9997)  2 Pm 3.22, 2 Tb 3.26, 2 Sc 3.43
Sc (0.5025, 0.2500, 0.0003)  2 Pm 3.22, 2 Tb 3.26, 2 Sc 3.43
Sc (0.7891, 0.2500, 0.5788)  9 Pm 3.22-3.59

***

No. 5
Entry from Alexandria: a relaxed Sm2AgSn3Se6 crystal (PBE).

Space group ... C2/m
ΔE_f (raw) ... -0.85 eV per atom

Lattice parameters (Å, degrees): 9.6253 9.6253 8.3959 103.84 103.84 25.73
Closest atoms and distances in Å follow each position.
Atoms (fractional coordinates):
Sm (0.1642, 0.1642, 0.3255)  6 Se 2.88-3.03
Sm (0.8358, 0.8358, 0.6745)  6 Se 2.88-3.03
Ag (0.5000, 0.5000, 0.0000)  6 Se 2.92-3.20
Sn (0.1606, 0.1606, 0.8449)  6 Se 2.93-3.17
Sn (0.5000, 0.5000, 0.5000)  6 Se 3.08-3.09
Sn (0.8394, 0.8394, 0.1551)  6 Se 2.93-3.17
Se (0.0060, 0.0060, 0.2399)  1 Sm 2.88, 2 Ag 2.92, 3 Sn 3.03-3.08
Se (0.3243, 0.3243, 0.9108)  3 Sn 2.93-2.98, 2 Sm 2.96, 1 Ag 3.20
Se (0.3306, 0.3306, 0.4273)  3 Sm 2.97-3.03, 3 Sn 3.09-3.17
Se (0.6694, 0.6694, 0.5727)  3 Sm 2.97-3.03, 3 Sn 3.09-3.17
Se (0.6757, 0.6757, 0.0892)  3 Sn 2.93-2.98, 2 Sm 2.96, 1 Ag 3.20
Se (0.9940, 0.9940, 0.7601)  1 Sm 2.88, 2 Ag 2.92, 3 Sn 3.03-3.08

***

No. 6
Entry from Alexandria: a relaxed Na2CoSi2 crystal (PBE).

Space group ... P4/mbm
ΔE_f (raw) ... 0.07 eV per atom

Lattice parameters (Å, degrees): 5.9740 5.9740 5.0664 90.00 90.00 90.00
Closest atoms and distances in Å follow each position.
Atoms (fractional coordinates):
Na (0.1794, 0.3206, 0.0000)  6 Si 2.92-3.21, 5 Na 3.03-3.10
Na (0.3206, 0.8206, 0.0000)  6 Si 2.92-3.21, 5 Na 3.03-3.10
Na (0.6794, 0.1794, 0.0000)  6 Si 2.92-3.21, 5 Na 3.03-3.10
Na (0.8206, 0.6794, 0.0000)  6 Si 2.92-3.21, 5 Na 3.03-3.10
Co (0.0000, 0.0000, 0.5000)  4 Si 2.28
Co (0.5000, 0.5000, 0.5000)  4 Si 2.28
Si (0.1486, 0.6486, 0.5000)  2 Co 2.28, 1 Si 2.51
Si (0.3514, 0.1486, 0.5000)  2 Co 2.28, 1 Si 2.51
Si (0.6486, 0.8514, 0.5000)  2 Co 2.28, 1 Si 2.51
Si (0.8514, 0.3514, 0.5000)  2 Co 2.28, 1 Si 2.51

***

No. 7
Entry from Alexandria: a relaxed PaGaSiO6 crystal (PBE).

Space group ... P-31c
ΔE_f (raw) ... -2.50 eV per atom

Lattice parameters (Å, degrees): 5.1867 5.1867 8.4948 90.00 90.00 120.00
Closest atoms and distances in Å follow each position.
Atoms (fractional coordinates):
Pa (0.3333, 0.6667, 0.2500)  6 O 2.18
Pa (0.6667, 0.3333, 0.7500)  6 O 2.18
Ga (0.0000, 0.0000, 0.0000)  6 O 2.08
Ga (0.0000, 0.0000, 0.5000)  6 O 2.08
Si (0.3333, 0.6667, 0.7500)  6 O 1.83
Si (0.6667, 0.3333, 0.2500)  6 O 1.83
O (0.0528, 0.3644, 0.6294)  1 Si 1.83
O (0.0528, 0.6883, 0.8706)  1 Si 1.83
O (0.3117, 0.3644, 0.8706)  1 Si 1.83
O (0.3117, 0.9472, 0.6294)  1 Si 1.83
O (0.3644, 0.0528, 0.1294)  1 Si 1.83
O (0.3644, 0.3117, 0.3706)  1 Si 1.83
O (0.6356, 0.6883, 0.6294)  1 Si 1.83
O (0.6356, 0.9472, 0.8706)  1 Si 1.83
O (0.6883, 0.0528, 0.3706)  1 Si 1.83
O (0.6883, 0.6356, 0.1294)  1 Si 1.83
O (0.9472, 0.3117, 0.1294)  1 Si 1.83
O (0.9472, 0.6356, 0.3706)  1 Si 1.83

***

No. 8
Entry from Alexandria: a relaxed Ge2TeI crystal (PBE).

Relative energy among the computed polymorphs ... 0.0 meV per atom
Space group ... R-3m
ΔE_f (raw) ... 0.15 eV per atom

Lattice parameters (Å, degrees): 7.3808 7.3808 7.3808 40.17 40.17 40.17
Closest atoms and distances in Å follow each position.
Atoms (fractional coordinates):
Ge (0.1382, 0.1382, 0.1382)  1 I 2.81, 3 Te 2.98, 3 Ge 3.15
Ge (0.8618, 0.8618, 0.8618)  1 I 2.81, 3 Te 2.98, 3 Ge 3.15
Te (0.5000, 0.5000, 0.5000)  6 Ge 2.98
I (0.0000, 0.0000, 0.0000)  2 Ge 2.81

***

Ordered final energy results: -21.01, -40.17, -126.45, -70.46, -55.43, -40.50, -140.47, -13.31; unit eV/cell.